Record 1
Density functional theory data (PBE) for Tb3YTm3 after structural relaxation.

extended XYZ file:
```
14
Lattice="3.064 1.769 14.132 -3.064 1.769 14.132 0.000 -3.538 14.132" Properties=species:S:1:pos:R:3 pbc="T T T"
Tb -1.014 -1.780 19.744
Tb -2.049 -0.012 22.652
Tb -1.035 1.768 19.744
Tb 1.035 -1.768 22.652
Tb 2.049 0.012 19.744
Tb 1.014 1.780 22.652
Y 0.000 0.000 14.131
Y 0.000 0.000 28.265
Tm -2.041 -0.004 16.948
Tm -1.017 -1.770 25.449
Tm 1.024 -1.765 16.948
Tm -1.024 1.765 25.449
Tm 1.017 1.770 16.948
Tm 2.041 0.004 25.449
```

Results
Distance to the lowest polymorph of the same formula: 145 meV per atom
Formation energy: 0.152 eV/atom
Total magnetic moment: 0.000 μB per formula unit
Total DFT energy (no corrections): -65.4 eV per cell

=====

Record 2
Density functional theory data (PBE) for TbY2Tm6 after structural relaxation.

extended XYZ file:
```
18
Lattice="6.343 -6.996 0.000 6.343 6.996 0.000 -1.502 0.000 6.308" Properties=species:S:1:pos:R:3 pbc="T T T"
Tb 5.216 5.313 4.731
Tb 5.967 -5.313 1.577
Y 3.590 0.354 3.967
Y 4.342 -0.354 0.813
Y 6.842 0.354 5.495
Y 7.593 -0.354 2.341
Tm 0.457 1.224 5.155
Tm 2.895 2.829 1.689
Tm 1.208 -1.224 2.001
Tm 4.400 2.610 6.308
Tm 6.032 2.610 3.155
Tm 2.144 -2.829 4.843
Tm 9.040 2.829 1.465
Tm 5.151 -2.610 3.154
Tm 6.783 -2.610 0.001
Tm 9.975 1.224 4.307
Tm 8.289 -2.829 4.620
Tm 10.726 -1.224 1.153
```

Results
Distance to the lowest polymorph of the same formula: 60 meV per atom
Formation energy: 0.107 eV/atom
Total magnetic moment: 0.000 μB per formula unit
Total DFT energy (no corrections): -86.8 eV per cell

=====

Record 3
Density functional theory data (PBE) for Tb12Y6Tm after structural relaxation.

extended XYZ file:
```
19
Lattice="6.676 3.855 4.302 -6.676 3.855 4.302 0.000 -7.709 4.302" Properties=species:S:1:pos:R:3 pbc="T T T"
Tb -2.549 -3.294 4.302
Tb -4.127 -0.561 4.302
Tb 0.000 -2.204 1.606
Tb -1.909 1.102 1.606
Tb 1.909 1.102 1.606
Tb 2.549 -3.294 4.302
Tb -1.578 3.855 4.302
Tb 4.127 -0.561 4.302
Tb 1.578 3.855 4.302
Tb -1.909 -1.102 11.301
Tb 1.909 -1.102 11.301
Tb 0.000 2.204 11.301
Y -3.037 -1.754 7.093
Y 0.000 -3.507 5.813
Y -3.037 1.754 5.813
Y 3.037 -1.754 7.093
Y 0.000 3.507 7.093
Y 3.037 1.754 5.813
Tm 0.000 0.000 6.453
```

Results
Formation energy: 0.462 eV/atom
Total magnetic moment: 0.000 μB per formula unit
Total DFT energy (no corrections): -90.1 eV per cell

=====

Look up the total magnetic moment of the first one.
0.000 μB per formula unit

=====

total magnetic moment of number 3 (Tb12Y6Tm)?
0.000 μB per formula unit